[1]
The following is a DFT calculation (PBE) of a relaxed Ga2AgHgSe4 crystal.

Values from the calculation:
**Space-group type**: Fmm2, No. 42
**E_tot**: -3.240 eV per atom
**DOS at the Fermi energy**: 2.250 states/eV per cell
**Magnetization**: 0.0 Bohr magnetons per cell

Cell: 6.0225 6.0225 7.3550 Å, 112.86 112.86 92.93°
Closest atoms and distances in Å follow each position.
Element x y z (fractional)
Ag1 0.5030 0.5030 0.0060  4 Se 2.67-2.68
Se1 0.8788 0.3863 0.2652  2 Ga 2.55, 1 Ag 2.67, 1 Hg 2.72
Se2 0.6065 0.6065 0.7205  2 Ga 2.53, 1 Ag 2.68, 1 Hg 2.73
Se3 0.1140 0.1140 0.7205  2 Ga 2.53, 1 Ag 2.68, 1 Hg 2.73
Se4 0.3863 0.8788 0.2652  2 Ga 2.55, 1 Ag 2.67, 1 Hg 2.72
Ga1 0.2543 0.7543 0.5086  4 Se 2.53-2.55
Ga2 0.7543 0.2543 0.5086  4 Se 2.53-2.55
Hg1 0.0030 0.0030 0.0060  4 Se 2.72-2.73

---

[2]
The following is a DFT calculation (PBE) of a relaxed InRe2Pb crystal.

Values from the calculation:
**Space-group type**: Pmmm, No. 47
**Energy above the lowest structure with this stoichiometry**: 655 meV/atom
**DOS at the Fermi energy**: 3.970 states/eV per cell
**Energy of formation**: 0.972 eV/atom
**Magnetization**: 0.0 Bohr magnetons per cell

Cell: 2.9844 4.3954 6.4080 Å, 90.00 90.00 90.00°
Closest atoms and distances in Å follow each position.
Element x y z (fractional)
Pb1 0.5000 0.5000 0.7500  2 Pb 2.98, 2 In 3.20
Re1 0.0000 0.0000 0.4312  1 Re 2.32
Re2 0.0000 0.0000 0.0688  1 Re 2.32
In1 0.5000 0.5000 0.2500  8 Re 2.90, 2 In 2.98, 2 Pb 3.20